(1)
DFT (PBE) results for an optimized crystal structure of Cs4Ac3YO8.

```
Cs4Ac3YO8
1.0
-3.5296 3.5955 -5.7681
3.0340 -5.5578 -5.3210
-4.0656 -2.6253 5.9359
Cs O Ac Y
4 8 3 1
direct
0.0000 0.0000 0.5000
0.5000 0.0000 0.5000
0.0000 0.0000 0.0000
0.5000 0.0000 0.0000
0.2143 0.6699 0.4286
0.2143 0.6699 0.9556
0.7250 0.6750 0.4500
0.7412 0.6699 0.9556
0.2588 0.3301 0.0444
0.2750 0.3250 0.5500
0.7857 0.3301 0.5714
0.7857 0.3301 0.0444
0.0000 0.5000 0.5000
0.5000 0.5000 0.5000
0.5000 0.5000 0.0000
0.0000 0.5000 0.0000
```

Output
E_form (uncorrected), eV/f.u.: -40.10
Space-group type: R-3m, No. 166

=====

(2)
DFT (PBE) results for an optimized crystal structure of Cs2AcYO4.

```
Cs2AcYO4
1.0
-1.6757 1.8895 2.7576
0.1423 -5.3088 3.7241
6.1682 3.6775 1.2282
O Cs Y Ac
4 2 1 1
direct
0.0000 0.2552 0.8304
0.0000 0.7448 0.1696
0.5000 0.2079 0.1682
0.5000 0.7921 0.8318
0.5000 0.0000 0.5000
0.0000 0.5000 0.5000
0.0000 0.0000 0.0000
0.5000 0.5000 0.0000
```

Output
E_form (uncorrected), eV/f.u.: -20.21
Space-group type: P2/m, No. 10

=====

(3)
DFT (PBE) results for an optimized crystal structure of Cs2AcZn2O4.

```
Cs2AcZn2O4
1.0
-1.6232 2.3214 2.6447
-3.2961 -5.7060 2.9856
7.0694 -0.7307 2.1408
O Zn Ac Cs
4 2 1 2
direct
0.4501 0.1798 0.9003
0.1923 0.1319 0.3846
0.8077 0.8681 0.6154
0.5499 0.8202 0.0997
0.6855 0.9954 0.3710
0.3145 0.0046 0.6290
0.0000 0.0000 0.0000
0.1386 0.5678 0.2773
0.8614 0.4322 0.7227
```

Output
E_form (uncorrected), eV/f.u.: -14.65
Space-group type: C2/m, No. 12

=====

(4)
DFT (PBE) results for an optimized crystal structure of Cs4Ac3ZrO8.

```
Cs4Ac3ZrO8
1.0
-0.2565 7.0660 2.7334
-2.2338 -2.9362 7.3807
6.4249 -2.6685 -3.0107
Cs O Zr Ac
4 8 1 3
direct
0.5000 0.0000 0.5000
0.0000 0.0000 0.0000
0.5000 0.0000 0.0000
0.0000 0.0000 0.5000
0.1991 0.6605 0.9614
0.7217 0.6650 0.4434
0.8009 0.3395 0.0386
0.2783 0.3350 0.5566
0.1991 0.6605 0.3982
0.2377 0.3395 0.0386
0.7623 0.6605 0.9614
0.8009 0.3395 0.6018
0.0000 0.5000 0.0000
0.0000 0.5000 0.5000
0.5000 0.5000 0.5000
0.5000 0.5000 0.0000
```

Output
E_form (uncorrected), eV/f.u.: -38.83
Space-group type: R-3m, No. 166

=====

Number 1: magnetic moment 0.0 μB/f.u.. Number 2: magnetic moment 0.0 μB/f.u.. Number 3: magnetic moment 0.0 μB/f.u.. Number 4: magnetic moment 0.0 μB/f.u..